## NbNOF4 (GGA-PBE)

Data for NbNOF4 after structural relaxation.

Cell and atoms, written as POSCAR:
```
NbNOF4
1.0
8.049 0.000 0.000
0.000 8.049 0.000
0.000 0.000 4.012
N F Nb O
2 8 2 2
Cartesian
0.000 0.000 2.006 N
4.025 4.025 2.006 N
4.025 1.954 2.231 F
2.071 0.000 2.231 F
5.979 0.000 2.231 F
4.025 6.095 2.231 F
6.095 4.025 1.781 F
0.000 5.979 1.781 F
0.000 2.071 1.781 F
1.954 4.025 1.781 F
0.000 4.025 2.040 Nb
4.025 0.000 1.972 Nb
4.025 0.000 0.179 O
0.000 4.025 3.832 O
```

Computed properties:
The density of states at the Fermi level comes out at 4.55 states/eV/f.u. For the calculated total energy, the calculation gives -5.783 eV per atom. Its magnetization is 4.000 Bohr magnetons per cell.

## NbNOF2 (GGA-PBE)

Data for NbNOF2 after structural relaxation.

Cell and atoms, written as POSCAR:
```
NbNOF2
1.0
-3.109 -1.433 -1.667
-1.151 -1.398 3.349
-1.864 3.224 0.705
O F N Nb
1 2 1 1
Cartesian
-0.932 1.612 0.352 O
-1.554 -0.716 -0.833 F
-0.576 -0.699 1.674 F
0.000 0.000 0.000 N
-3.062 0.196 1.193 Nb
```

Computed properties:
The density of states at the Fermi level comes out at 4.98 states/eV/f.u. The value obtained for the distance to the lowest polymorph of the same formula is 1593 meV per atom. Its magnetization is 2.200 Bohr magnetons per cell.

## NbNOF2 (GGA-PBE)

Data for NbNOF2 after structural relaxation.

Cell and atoms, written as POSCAR:
```
NbNOF2
1.0
3.659 0.000 0.000
0.000 3.659 0.000
0.000 0.000 3.872
O F N Nb
1 2 1 1
Cartesian
0.000 0.000 0.000 O
0.000 1.829 0.000 F
1.829 0.000 0.000 F
0.000 0.000 1.936 N
1.829 1.829 1.936 Nb
```

Computed properties:
The density of states at the Fermi level comes out at 2.64 states/eV/f.u. The value obtained for the distance to the lowest polymorph of the same formula is 1643 meV per atom. Its magnetization is 1.595 Bohr magnetons per cell.

## NbNOF2 (GGA-PBE)

Data for NbNOF2 after structural relaxation.

Cell and atoms, written as POSCAR:
```
NbNOF2
1.0
-0.682 0.932 -4.038
3.564 -1.956 -1.053
-1.966 -3.346 -0.440
O Nb F N
1 1 2 1
Cartesian
-0.983 -1.673 -0.220 O
0.000 0.000 0.000 Nb
1.782 -0.978 -0.527 F
-0.341 0.466 -2.019 F
0.458 -2.185 -2.766 N
```

Computed properties:
The density of states at the Fermi level comes out at 2.01 states/eV/f.u. The value obtained for the distance to the lowest polymorph of the same formula is 0 meV per atom. Its magnetization is 2.020 Bohr magnetons per cell.